a) An optimized crystal structure of K7Cd2Au2. Source: the Alexandria database, functional PBE-GGA.

symmetry: No. 65
density: 2.93 g cm⁻³

Lattice parameters (Å, degrees): 7.981 7.981 8.425 90.00 90.00 109.53
Fractional positions:
K: 0.000 0.000 0.000
K: 0.000 0.500 0.271
K: 0.000 0.500 0.729
K: 0.500 0.000 0.271
K: 0.500 0.000 0.729
K: 0.500 0.500 0.250
K: 0.500 0.500 0.750
Cd: 0.154 0.154 0.500
Cd: 0.846 0.846 0.500
Au: 0.298 0.702 0.000
Au: 0.702 0.298 0.000

=====

b) An optimized crystal structure of K7Cd2Au2. Source: the Alexandria database, functional PBE-GGA.

symmetry: No. 12
density: 2.73 g cm⁻³

Lattice parameters (Å, degrees): 9.273 9.273 7.105 95.40 95.40 115.51
Fractional positions:
K: 0.000 0.000 0.000
K: 0.027 0.623 0.746
K: 0.338 0.338 0.796
K: 0.377 0.973 0.254
K: 0.623 0.027 0.746
K: 0.662 0.662 0.204
K: 0.973 0.377 0.254
Cd: 0.373 0.627 0.500
Cd: 0.627 0.373 0.500
Au: 0.321 0.321 0.284
Au: 0.679 0.679 0.716

=====

Most stable one: a), least stable one: b).

=====

a) An optimized crystal structure of K2CdAu3. Source: the Alexandria database, functional PBE-GGA.

symmetry: No. 69
density: 7.21 g cm⁻³

Lattice parameters (Å, degrees): 9.614 9.453 6.586 71.12 68.48 40.40
Fractional positions:
K: 0.244 0.756 0.756
K: 0.250 0.250 0.250
K: 0.750 0.750 0.750
K: 0.756 0.244 0.244
Cd: 0.334 0.334 0.666
Cd: 0.666 0.666 0.334
Au: 0.166 0.667 0.333
Au: 0.167 0.167 0.833
Au: 0.333 0.834 0.166
Au: 0.667 0.166 0.834
Au: 0.833 0.833 0.167
Au: 0.834 0.333 0.667

=====

b) An optimized crystal structure of K2CdAu3. Source: the Alexandria database, functional PBE-GGA.

symmetry: No. 51
density: 7.53 g cm⁻³

Lattice parameters (Å, degrees): 5.569 6.920 8.946 90.00 90.00 90.00
Fractional positions:
K: 0.250 0.000 0.130
K: 0.250 0.500 0.365
K: 0.750 0.000 0.870
K: 0.750 0.500 0.635
Cd: 0.250 0.500 0.929
Cd: 0.750 0.500 0.071
Au: 0.000 0.000 0.500
Au: 0.250 0.209 0.724
Au: 0.250 0.791 0.724
Au: 0.500 0.000 0.500
Au: 0.750 0.209 0.276
Au: 0.750 0.791 0.276

=====

Most stable one: b), least stable one: a).

=====

a) An optimized crystal structure of KCdAu3. Source: the Alexandria database, functional PBE-GGA.

symmetry: No. 221
density: 8.13 g cm⁻³

Lattice parameters (Å, degrees): 5.333 5.333 5.333 90.00 90.00 90.00
Fractional positions:
K: 0.000 0.000 0.000
Cd: 0.500 0.500 0.500
Au: 0.000 0.500 0.500
Au: 0.500 0.000 0.500
Au: 0.500 0.500 0.000

=====

b) An optimized crystal structure of KCdAu3. Source: the Alexandria database, functional PBE-GGA.

symmetry: No. 74
density: 9.02 g cm⁻³

Lattice parameters (Å, degrees): 7.528 7.528 7.528 136.33 96.19 99.72
Fractional positions:
K: 0.321 0.071 0.250
K: 0.679 0.929 0.750
Cd: 0.000 0.500 0.500
Cd: 0.500 0.500 0.000
Au: 0.122 0.372 0.750
Au: 0.216 0.000 0.716
Au: 0.216 0.500 0.216
Au: 0.784 0.000 0.284
Au: 0.784 0.500 0.784
Au: 0.878 0.628 0.250

=====

c) An optimized crystal structure of KCdAu3. Source: the Alexandria database, functional PBE-GGA.

symmetry: No. 221
density: 6.83 g cm⁻³

Lattice parameters (Å, degrees): 5.651 5.651 5.651 90.00 90.00 90.00
Fractional positions:
K: 0.000 0.000 0.000
Cd: 0.500 0.500 0.500
Au: 0.000 0.000 0.500
Au: 0.000 0.500 0.000
Au: 0.500 0.000 0.000

=====

Most stable one: b), least stable one: c).

=====

a) An optimized crystal structure of KCd4Au. Source: the Alexandria database, functional PBE-GGA.

symmetry: No. 216
density: 7.66 g cm⁻³

Lattice parameters (Å, degrees): 5.947 5.947 5.947 60.00 60.00 60.00
Fractional positions:
K: 0.000 0.000 0.000
Cd: 0.376 0.376 0.376
Cd: 0.376 0.376 0.872
Cd: 0.376 0.872 0.376
Cd: 0.872 0.376 0.376
Au: 0.750 0.750 0.750

=====

b) An optimized crystal structure of KCd4Au. Source: the Alexandria database, functional PBE-GGA.

symmetry: No. 63
density: 7.19 g cm⁻³

Lattice parameters (Å, degrees): 9.056 9.056 7.714 90.00 90.00 149.97
Fractional positions:
K: 0.126 0.874 0.750
K: 0.874 0.126 0.250
Cd: 0.067 0.933 0.250
Cd: 0.321 0.679 0.555
Cd: 0.321 0.679 0.945
Cd: 0.500 0.500 0.000
Cd: 0.500 0.500 0.500
Cd: 0.679 0.321 0.055
Cd: 0.679 0.321 0.445
Cd: 0.933 0.067 0.750
Au: 0.230 0.770 0.250
Au: 0.770 0.230 0.750

=====

Most stable one: b), least stable one: a).

=====

a) An optimized crystal structure of K2Cd7Au. Source: the Alexandria database, functional PBE-GGA.

symmetry: No. 115
density: 6.19 g cm⁻³

Lattice parameters (Å, degrees): 4.650 4.650 13.169 90.00 90.00 90.00
Fractional positions:
K: 0.000 0.500 0.242
K: 0.500 0.000 0.758
Cd: 0.000 0.000 0.000
Cd: 0.000 0.000 0.500
Cd: 0.000 0.500 0.645
Cd: 0.000 0.500 0.865
Cd: 0.500 0.000 0.135
Cd: 0.500 0.000 0.355
Cd: 0.500 0.500 0.500
Au: 0.500 0.500 0.000

=====

b) An optimized crystal structure of K2Cd7Au. Source: the Alexandria database, functional PBE-GGA.

symmetry: No. 225
density: 5.38 g cm⁻³

Lattice parameters (Å, degrees): 7.740 7.740 7.740 60.00 60.00 60.00
Fractional positions:
K: 0.250 0.250 0.250
K: 0.750 0.750 0.750
Cd: 0.000 0.000 0.000
Cd: 0.254 0.254 0.746
Cd: 0.254 0.746 0.254
Cd: 0.254 0.746 0.746
Cd: 0.746 0.254 0.254
Cd: 0.746 0.254 0.746
Cd: 0.746 0.746 0.254
Au: 0.500 0.500 0.500

=====

Most stable one: a), least stable one: b).

=====

a) An optimized crystal structure of KNaCd2Au. Source: the Alexandria database, functional PBE-GGA.

symmetry: No. 44
density: 5.51 g cm⁻³

Lattice parameters (Å, degrees): 7.407 7.407 7.407 143.43 142.66 53.26
Fractional positions:
K: 0.000 0.000 0.000
Na: 0.229 0.729 0.500
Cd: 0.386 0.386 0.000
Cd: 0.732 0.232 0.500
Au: 0.597 0.597 0.000

=====

b) An optimized crystal structure of KNaCd2Au. Source: the Alexandria database, functional PBE-GGA.

symmetry: No. 123
density: 4.51 g cm⁻³

Lattice parameters (Å, degrees): 5.407 5.407 6.089 90.00 90.00 90.00
Fractional positions:
K: 0.000 0.000 0.000
Na: 0.500 0.500 0.000
Cd: 0.000 0.500 0.500
Cd: 0.500 0.000 0.500
Au: 0.000 0.000 0.500

=====

Most stable one: a), least stable one: b).